# LiMn2OF3 | the Alexandria database | PBE with a Hubbard U | relaxed
# energy above the most stable polymorph in this dataset	0.098	eV/f.u.
data_LiMn2OF3
_chemical_formula_sum 'Li4 Mn8 O4 F12'
_space_group_name_H-M_alt 'P n m a'
_space_group_IT_number 62
_space_group_name_Hall '-P 2ac 2n'
_cell_length_a 11.016
_cell_length_b 6.268
_cell_length_c 5.072
_cell_angle_alpha 90.00
_cell_angle_beta 90.00
_cell_angle_gamma 90.00
loop_
_atom_site_label
_atom_site_type_symbol
_atom_site_fract_x
_atom_site_fract_y
_atom_site_fract_z
Li1 Li 0.089 0.250 0.058
Mn1 Mn 0.000 0.000 0.500
Mn2 Mn 0.211 0.750 0.957
O1 O 0.057 0.750 0.736
F1 F 0.112 0.250 0.696
F2 F 0.170 0.015 0.228